## Ho3TmSc (PBE)

Data for an optimized crystal structure of Ho3TmSc.

abc: 6.114 6.537 8.967
angles: 107.61 90.05 117.83
Space group P-1 (No. 2)
Unique sites:
1 Ho 0.066 0.298 0.052 (multiplicity 2)
2 Ho 0.266 0.700 0.450 (multiplicity 2)
3 Ho 0.334 0.495 0.747 (multiplicity 2)
4 Tm 0.467 0.096 0.847 (multiplicity 2)
5 Sc 0.131 0.097 0.353 (multiplicity 2)

Values from the calculation:
- Magnetization: 0.00 μB per cell
- Electronic total energy: -0.1798 hartree per atom
- Mass density: 7.91 Mg/m³
- ΔH_f (0 K): 0.01 eV per atom



## Rb3AgAs2I9 (PBE)

Data for an optimized crystal structure of Rb3AgAs2I9.

abc: 8.3362 8.3362 10.1977
angles: 90.00 90.00 120.00
Space group P-3m1 (No. 164)
Unique sites:
1 Rb 0.0000 0.0000 0.0000 (multiplicity 1)
2 Rb 0.3333 0.6667 0.6710 (multiplicity 2)
3 Ag 0.0000 0.0000 0.5000 (multiplicity 1)
4 As 0.3333 0.6667 0.1741 (multiplicity 2)
5 I 0.0000 0.5000 0.0000 (multiplicity 3)
6 I 0.1695 0.3391 0.3308 (multiplicity 6)

Values from the calculation:
- Formation energy without anion corrections: -659 meV/atom
- Magnetization: 0.00 μB per cell
- Electronic total energy: -0.0953 hartree per atom
- Mass density: 4.48 Mg/m³